Th4FeTe3 | PBE | relaxed

Properties
The formation energy from raw total energies is -0.854 eV per atom. The value obtained for the volume is 30.714 Å³ per atom. For the total DFT energy (no corrections), the calculation gives -6.800 eV/atom.

abc: 7.915 8.910 7.366
angles: 90.00 108.91 90.00
Positions (direct):
Th: 0.197 0.102 0.017
Th: 0.197 0.898 0.517
Th: 0.217 0.347 0.467
Th: 0.217 0.653 0.967
Th: 0.783 0.347 0.033
Th: 0.783 0.653 0.533
Th: 0.803 0.102 0.483
Th: 0.803 0.898 0.983
Fe: 0.000 0.121 0.250
Fe: 0.000 0.879 0.750
Te: 0.000 0.371 0.750
Te: 0.000 0.629 0.250
Te: 0.500 0.129 0.750
Te: 0.500 0.381 0.250
Te: 0.500 0.619 0.750
Te: 0.500 0.871 0.250